Entry 1:
Here is a relaxed VAsO2F crystal from Alexandria. Energies are from PBE+U.

abc: 3.9940 3.9940 4.1789
angles: 90.00 90.00 90.00
Closest atoms and distances in Å follow each position.
Element x y z (fractional)
As 0.0000 0.0000 0.0000  4 O 2.00, 2 F 2.09
O 0.0000 0.5000 0.0000  2 As 2.00
O 0.5000 0.0000 0.0000  2 As 2.00
V 0.5000 0.5000 0.5000  4 F 2.82, 8 O 2.89
F 0.0000 0.0000 0.5000  2 As 2.09

## Properties
Total energy in eV per formula unit: -27.276
Total moment in μB/f.u.: 3.40


Entry 2:
Here is a relaxed VAsOF2 crystal from Alexandria. Energies are from PBE+U.

abc: 4.1311 4.1311 3.8596
angles: 90.00 90.00 90.00
Closest atoms and distances in Å follow each position.
Element x y z (fractional)
As 0.5000 0.5000 0.5000  8 F 2.83, 4 O 2.92
F 0.0000 0.5000 0.0000  2 V 2.07
F 0.5000 0.0000 0.0000  2 V 2.07
V 0.0000 0.0000 0.0000  2 O 1.93, 4 F 2.07
O 0.0000 0.0000 0.5000  2 V 1.93

## Properties
Total energy in eV per formula unit: -27.189
Energy above the lowest structure with this stoichiometry in meV/atom: 0
Total moment in μB/f.u.: 2.63


Entry 3:
Here is a relaxed VAsOF2 crystal from Alexandria. Energies are from PBE+U.

abc: 4.4011 4.4011 3.9286
angles: 90.00 90.00 90.00
Closest atoms and distances in Å follow each position.
Element x y z (fractional)
F 0.0000 0.5000 0.0000  2 As 2.20
F 0.5000 0.0000 0.0000  2 As 2.20
As 0.0000 0.0000 0.0000  2 O 1.96
O 0.0000 0.0000 0.5000  2 As 1.96
V 0.5000 0.5000 0.5000  8 F 2.95, 4 O 3.11

## Properties
Total energy in eV per formula unit: -24.642
Energy above the lowest structure with this stoichiometry in meV/atom: 509
Total moment in μB/f.u.: 3.85


Entry 4:
Here is a relaxed VAsO2F crystal from Alexandria. Energies are from PBE+U.

abc: 3.8316 3.8316 4.0608
angles: 90.00 90.00 90.00
Closest atoms and distances in Å follow each position.
Element x y z (fractional)
O 0.0000 0.5000 0.0000  2 V 1.92
O 0.5000 0.0000 0.0000  2 V 1.92
F 0.0000 0.0000 0.5000  2 V 2.03
V 0.0000 0.0000 0.0000  4 O 1.92, 2 F 2.03
As 0.5000 0.5000 0.5000  4 F 2.71, 8 O 2.79

## Properties
Total energy in eV per formula unit: -28.404
Total moment in μB/f.u.: 0.00


Entry 5:
Here is a relaxed AsWOF2 crystal from Alexandria. Energies are from PBE+U.

abc: 4.2203 4.2203 4.3014
angles: 90.00 90.00 90.00
Closest atoms and distances in Å follow each position.
Element x y z (fractional)
W 0.0000 0.0000 0.0000  4 F 2.11, 2 O 2.15
O 0.0000 0.0000 0.5000  2 W 2.15
F 0.0000 0.5000 0.0000  2 W 2.11
F 0.5000 0.0000 0.0000  2 W 2.11
As 0.5000 0.5000 0.5000  4 O 2.98, 8 F 3.01

## Properties
Total energy in eV per formula unit: -25.741
Energy above the lowest structure with this stoichiometry in meV/atom: 0
Total moment in μB/f.u.: 1.22


Entry 6:
Here is a relaxed AsWOF2 crystal from Alexandria. Energies are from PBE+U.

abc: 4.3377 4.3377 4.0379
angles: 90.00 90.00 90.00
Closest atoms and distances in Å follow each position.
Element x y z (fractional)
F 0.5000 0.0000 0.0000  2 As 2.17
F 0.0000 0.5000 0.0000  2 As 2.17
As 0.0000 0.0000 0.0000  2 O 2.02, 4 F 2.17
O 0.0000 0.0000 0.5000  2 As 2.02
W 0.5000 0.5000 0.5000  8 F 2.96, 4 O 3.07

## Properties
Total energy in eV per formula unit: -22.469
Energy above the lowest structure with this stoichiometry in meV/atom: 654
Total moment in μB/f.u.: 4.97


Entry 7:
Here is a relaxed AsWO2F crystal from Alexandria. Energies are from PBE+U.

abc: 3.9508 3.9508 4.4118
angles: 90.00 90.00 90.00
Closest atoms and distances in Å follow each position.
Element x y z (fractional)
O 0.0000 0.5000 0.0000  2 W 1.98
O 0.5000 0.0000 0.0000  2 W 1.98
W 0.0000 0.0000 0.0000  4 O 1.98, 2 F 2.21
As 0.5000 0.5000 0.5000  4 F 2.79, 8 O 2.96
F 0.0000 0.0000 0.5000  2 W 2.21

## Properties
Total energy in eV per formula unit: -27.349
Total moment in μB/f.u.: 1.15


Entry 8:
Here is a relaxed AsWO2F crystal from Alexandria. Energies are from PBE+U.

abc: 4.1444 4.1444 4.0513
angles: 90.00 90.00 90.00
Closest atoms and distances in Å follow each position.
Element x y z (fractional)
F 0.0000 0.0000 0.5000  2 As 2.03
As 0.0000 0.0000 0.0000  2 F 2.03, 4 O 2.07
W 0.5000 0.5000 0.5000  8 O 2.90, 4 F 2.93
O 0.0000 0.5000 0.0000  2 As 2.07
O 0.5000 0.0000 0.0000  2 As 2.07

## Properties
Total energy in eV per formula unit: -25.100
Total moment in μB/f.u.: 4.09